# 1
BeZn2Re: relaxed, PBE-GGA.

Properties
Calculated volume, Å³ per cell: 53.2
DFT formation energy, eV/f.u.: 1.2
Magnetization, Bohr magnetons per cell: 0.00

abc: 2.622 4.014 5.058
angles: 90.00 90.00 90.00
Sites, in units of the cell vectors:
Re  0.500  0.500  0.750
Zn  0.000  0.000  0.497
Zn  0.000  0.000  0.003
Be  0.500  0.500  0.250

# 2
BeSbAsBr2: relaxed, PBE-GGA.

Properties
Relative energy among the computed polymorphs, kcal/mol of atoms: 13.874
Calculated volume, Å³ per cell: 173.5
Formation energy (no corrections), eV per atom: 0.7722
Magnetization, Bohr magnetons per cell: 1.15

abc: 5.597 5.597 5.536
angles: 90.00 90.00 90.00
Sites, in units of the cell vectors:
Be  0.500  0.500  0.500
As  0.000  0.000  0.500
Br  0.500  0.000  0.000
Br  0.000  0.500  0.000
Sb  0.000  0.000  0.000

# 3
SrTmPt2: relaxed, PBE-GGA.

Properties
Relative energy among the computed polymorphs, kcal/mol of atoms: 0.000
Calculated volume, Å³ per cell: 90.7
DFT formation energy, eV/f.u.: -4.3
Magnetization, Bohr magnetons per cell: 0.00

abc: 3.513 3.513 7.353
angles: 90.00 90.00 90.00
Sites, in units of the cell vectors:
Pt  0.000  0.000  0.790
Pt  0.000  0.000  0.210
Tm  0.500  0.500  0.000
Sr  0.500  0.500  0.500

# 4
Pa2ZnIr: relaxed, PBE-GGA.

Properties
Relative energy among the computed polymorphs, kcal/mol of atoms: 12.276
Calculated volume, Å³ per cell: 89.1
DFT formation energy, eV/f.u.: 0.7
Magnetization, Bohr magnetons per cell: 0.00

abc: 3.064 3.064 11.098
angles: 82.07 82.07 60.00
Sites, in units of the cell vectors:
Zn  0.000  0.000  0.000
Pa  0.094  0.094  0.717
Pa  0.906  0.906  0.283
Ir  0.500  0.500  0.500